Pr4Y3Er4 | GGA-PBE | optimized geometry

Cell lengths 3.557, 5.645, 18.360 Å; angles 81.17, 84.45, 90.00 degrees
Space group P-1 (No. 2)
Symmetry-distinct sites (fractional):
Pr  0.046  0.047  0.408
Pr  0.180  0.681  0.139
Y  0.363  0.862  0.775
Y  0.500  0.500  0.500
Er  0.091  0.592  0.317
Er  0.234  0.234  0.033

N(E_F): 18.27 states/eV/f.u.
DFT formation energy: 52.8 meV/atom
Magnetization: 0.00 μB/cell

PrY2Er | GGA-PBE | optimized geometry

Cell lengths 4.169, 4.169, 7.648 Å; angles 90.00, 90.00, 90.00 degrees
Space group P4/mmm (No. 123)
Symmetry-distinct sites (fractional):
Pr  0.000  0.000  0.000
Y  0.500  0.500  0.260
Er  0.000  0.000  0.500

N(E_F): 8.90 states/eV/f.u.
DFT formation energy: 111.7 meV/atom
Magnetization: 0.00 μB/cell

PrY2Er | GGA-PBE | optimized geometry

Cell lengths 3.5956, 3.5956, 35.0529 Å; angles 90.00, 90.00, 120.00 degrees
Space group R-3m (No. 166, hexagonal axes)
Symmetry-distinct sites (fractional):
Pr  0.0000  0.0000  0.0000
Y  0.0000  0.0000  0.2482
Er  0.0000  0.0000  0.5000

N(E_F): 5.98 states/eV/f.u.
DFT formation energy: 22.9 meV/atom
Magnetization: 0.00 μB/cell

Pr8YEr3 | GGA-PBE | optimized geometry

Cell lengths 8.824, 8.824, 11.744 Å; angles 90.00, 90.00, 90.00 degrees
Space group I-42m (No. 121)
Symmetry-distinct sites (fractional):
Pr  0.125  0.125  0.248
Pr  0.248  0.248  0.996
Y  0.000  0.000  0.500
Er  0.000  0.000  0.000
Er  0.000  0.500  0.250

N(E_F): 20.01 states/eV/f.u.
DFT formation energy: 581.0 meV/atom
Magnetization: 0.00 μB/cell

PrY5Er2 | GGA-PBE | optimized geometry

Cell lengths 7.152, 14.314, 5.037 Å; angles 90.00, 90.00, 90.00 degrees
Space group Pbam (No. 55)
Symmetry-distinct sites (fractional):
Pr  0.000  0.000  0.000
Y  0.000  0.251  0.000
Y  0.000  0.500  0.000
Y  0.249  0.374  0.500
Er  0.250  0.126  0.500

N(E_F): 10.58 states/eV/f.u.
DFT formation energy: 22.4 meV/atom
Magnetization: 0.00 μB/cell

Pr3Y2Er2 | GGA-PBE | optimized geometry

Cell lengths 3.561, 8.653, 8.842 Å; angles 62.13, 89.99, 78.13 degrees
Space group P-1 (No. 2)
Symmetry-distinct sites (fractional):
Pr  0.000  0.000  0.000
Pr  0.293  0.412  0.713
Y  0.072  0.858  0.432
Er  0.362  0.276  0.167

N(E_F): 9.73 states/eV/f.u.
DFT formation energy: 44.2 meV/atom
Magnetization: 0.00 μB/cell

PrY8Er3 | GGA-PBE | optimized geometry

Cell lengths 6.466, 11.283, 11.466 Å; angles 90.00, 90.00, 90.00 degrees
Space group Immm (No. 71)
Symmetry-distinct sites (fractional):
Pr  0.000  0.000  0.000
Y  0.000  0.168  0.251
Y  0.245  0.260  0.000
Er  0.000  0.000  0.500
Er  0.000  0.500  0.241

N(E_F): 16.89 states/eV/f.u.
DFT formation energy: 348.1 meV/atom
Magnetization: 0.00 μB/cell

Pr3YEr7 | GGA-PBE | optimized geometry

Cell lengths 6.506, 6.703, 8.598 Å; angles 99.44, 98.54, 95.15 degrees
Space group P-1 (No. 2)
Symmetry-distinct sites (fractional):
Pr  0.000  0.000  0.000
Pr  0.198  0.561  0.164
Y  0.500  0.000  0.500
Er  0.012  0.767  0.580
Er  0.279  0.276  0.787
Er  0.437  0.791  0.855
Er  0.500  0.500  0.500

N(E_F): 17.61 states/eV/f.u.
DFT formation energy: 123.6 meV/atom
Magnetization: 0.00 μB/cell